VASP calculation (PBE) on crystalline Ho8Er3Th at its relaxed geometry.

Cell: 7.637 7.637 15.344 Å, 90.00 90.00 90.00°
Space group I4/mmm (No. 139)
Unique sites:
1 Ho 0.250 0.250 0.125
2 Er 0.000 0.000 0.000
3 Er 0.000 0.500 0.250
4 Th 0.000 0.000 0.500

Computed properties:
- Total magnetization: 0.00 μB per formula unit
- ρ: 7.619 g/cm3


VASP calculation (PBE) on crystalline Ho3Er3Th at its relaxed geometry.

Cell: 10.0235 10.0235 7.9189 Å, 90.00 90.00 120.00°
Space group R3m (No. 160, hexagonal axes)
Unique sites:
1 Ho 0.1927 0.3855 0.0000
2 Er 0.2141 0.4282 0.4301
3 Th 0.0000 0.0000 0.0693

Computed properties:
- Total magnetization: 0.00 μB per formula unit
- ρ: 8.883 g/cm3


VASP calculation (PBE) on crystalline Ho6ErTh4 at its relaxed geometry.

Cell: 7.811 7.811 12.937 Å, 90.00 90.00 90.00°
Space group I-42m (No. 121)
Unique sites:
1 Ho 0.000 0.500 0.000
2 Ho 0.246 0.246 0.182
3 Er 0.000 0.000 0.500
4 Th 0.169 0.169 0.926

Computed properties:
- Total magnetization: 0.00 μB per formula unit
- ρ: 8.772 g/cm3
- Energy above the lowest structure with this stoichiometry: 350 meV per atom


VASP calculation (PBE) on crystalline Ho6ErTh3 at its relaxed geometry.

Cell: 9.8024 9.8024 11.9363 Å, 90.00 90.00 120.00°
Space group R-3 (No. 148, hexagonal axes)
Unique sites:
1 Ho 0.0009 0.3327 0.2484
2 Er 0.0000 0.0000 0.5000
3 Th 0.0000 0.0000 0.0000
4 Th 0.0000 0.0000 0.2510

Computed properties:
- Total magnetization: 0.00 μB per formula unit
- ρ: 9.293 g/cm3
- Energy above the lowest structure with this stoichiometry: 274 meV per atom


In the order shown, the computed energy relative to the elements values come out to 0.766 0.285 0.512 0.356 eV/atom.